# 1
Material: Dy15TlIn4
Method: DFT, GGA-PBE
State: relaxed

Cell: 4.838 4.838 24.288 Å, 90.00 90.00 90.00°
Positions (direct):
Dy: 0.500 0.500 0.000
Dy: 0.000 0.500 0.899
Dy: 0.000 0.500 0.500
Dy: 0.500 0.000 0.101
Dy: 0.500 0.500 0.600
Dy: 0.500 0.000 0.500
Dy: 0.500 0.500 0.800
Dy: 0.500 0.000 0.899
Dy: 0.500 0.000 0.700
Dy: 0.500 0.500 0.400
Dy: 0.500 0.000 0.300
Dy: 0.000 0.500 0.300
Dy: 0.000 0.500 0.101
Dy: 0.500 0.500 0.200
Dy: 0.000 0.500 0.700
Tl: 0.000 0.000 0.000
In: 0.000 0.000 0.600
In: 0.000 0.000 0.200
In: 0.000 0.000 0.400
In: 0.000 0.000 0.800

Properties
Size of the total moment (μB per cell): 0.081
SG: P4/mmm, No. 123
Total energy (eV/atom): -4.37
Crystal system: tetragonal



# 2
Material: DyTm5TlIn2
Method: DFT, GGA-PBE
State: relaxed

Cell: 8.426 8.426 9.324 Å, 116.86 116.86 90.00°
Positions (direct):
In: 0.111 0.389 0.000
In: 0.389 0.889 0.000
In: 0.889 0.611 0.000
In: 0.611 0.111 0.000
Tm: 0.577 0.654 0.731
Tm: 0.923 0.423 0.269
Tm: 0.500 0.500 0.000
Tm: 0.346 0.846 0.269
Tm: 0.846 0.923 0.269
Tm: 0.077 0.577 0.731
Tm: 0.154 0.077 0.731
Tm: 0.000 0.000 0.000
Tm: 0.423 0.346 0.269
Tm: 0.654 0.154 0.731
Tl: 0.250 0.250 0.500
Tl: 0.750 0.750 0.500
Dy: 0.250 0.750 0.500
Dy: 0.750 0.250 0.500

Properties
Size of the total moment (μB per cell): 0.004
SG: I4/mcm, No. 140
Total energy (eV/atom): -3.87
Crystal system: tetragonal



# 3
Material: Dy3Tm3TlIn2
Method: DFT, GGA-PBE
State: relaxed

Cell: 3.720 8.885 8.885 Å, 120.00 90.00 90.00°
Positions (direct):
Tm: 0.000 0.000 0.380
Tm: 0.000 0.380 0.000
Tm: 0.000 0.620 0.620
In: 0.500 0.333 0.667
In: 0.500 0.667 0.333
Tl: 0.000 0.000 0.000
Dy: 0.500 0.000 0.710
Dy: 0.500 0.710 0.000
Dy: 0.500 0.290 0.290

Properties
Size of the total moment (μB per cell): 0.810
SG: P-62m, No. 189
Total energy (eV/atom): -4.17
Crystal system: hexagonal



# 4
Material: Dy3Y3Tl2In
Method: DFT, GGA-PBE
State: relaxed

Cell: 3.816 8.903 8.903 Å, 120.00 90.00 90.00°
Positions (direct):
Y: 0.500 0.286 0.286
Y: 0.500 0.000 0.714
Y: 0.500 0.714 0.000
Tl: 0.500 0.667 0.333
Tl: 0.500 0.333 0.667
Dy: 0.000 0.619 0.619
Dy: 0.000 0.381 0.000
Dy: 0.000 0.000 0.381
In: 0.000 0.000 0.000

Properties
Size of the total moment (μB per cell): 1.530
SG: P-62m, No. 189
Total energy (eV/atom): -4.80
Crystal system: hexagonal



# 5
Material: DyZrTlIn
Method: DFT, GGA-PBE
State: relaxed

Cell: 5.191 5.191 5.191 Å, 60.00 60.00 60.00°
Positions (direct):
Zr: 0.750 0.750 0.750
Tl: 0.000 0.000 0.000
In: 0.500 0.500 0.500
Dy: 0.250 0.250 0.250

Properties
Size of the total moment (μB per cell): 0.368
SG: F-43m, No. 216
Total energy (eV/atom): -4.75
Crystal system: cubic



# 6
Material: DyTmIn2
Method: DFT, GGA-PBE
State: relaxed

Cell: 5.289 5.289 5.289 Å, 60.00 60.00 60.00°
Positions (direct):
In: 0.500 0.500 0.500
In: 0.000 0.000 0.000
Dy: 0.250 0.250 0.250
Tm: 0.750 0.750 0.750

Properties
Size of the total moment (μB per cell): 0.000
SG: Fm-3m, No. 225
Total energy (eV/atom): -4.08
Crystal system: cubic



# 7
Material: Dy12Tm5In2
Method: DFT, GGA-PBE
State: relaxed

Cell: 9.186 8.918 8.313 Å, 91.42 90.00 121.00°
Positions (direct):
Dy: 0.179 0.751 0.341
Dy: 0.554 0.107 0.325
Dy: 0.428 0.249 0.659
Dy: 0.035 0.699 0.762
Dy: 0.965 0.301 0.238
Dy: 0.446 0.893 0.675
Dy: 0.821 0.249 0.659
Dy: 0.336 0.301 0.238
Dy: 0.664 0.699 0.762
Dy: 0.914 0.828 0.113
Dy: 0.572 0.751 0.341
Dy: 0.086 0.172 0.887
In: 0.320 0.000 0.000
In: 0.680 0.000 0.000
Tm: 0.000 0.000 0.500
Tm: 0.311 0.622 0.994
Tm: 0.689 0.378 0.006
Tm: 0.766 0.531 0.418
Tm: 0.234 0.469 0.582

Properties
Size of the total moment (μB per cell): 0.000
SG: C2/m, No. 12
Total energy (eV/atom): -4.37
Crystal system: monoclinic



# 8
Material: DyTm7In2
Method: DFT, GGA-PBE
State: relaxed

Cell: 5.360 8.852 8.852 Å, 118.69 90.00 90.00°
Positions (direct):
Tm: 0.500 0.302 0.059
Tm: 0.000 0.773 0.227
Tm: 0.500 0.941 0.698
Tm: 0.500 0.500 0.500
Tm: 0.000 0.227 0.773
Tm: 0.500 0.059 0.302
Tm: 0.500 0.698 0.941
Dy: 0.000 0.000 0.000
In: 0.500 0.304 0.696
In: 0.500 0.696 0.304

Properties
Size of the total moment (μB per cell): 0.002
SG: Cmmm, No. 65
Total energy (eV/atom): -3.78
Crystal system: orthorhombic



# 9
Material: Dy4TmIn
Method: DFT, GGA-PBE
State: relaxed

Cell: 3.548 3.548 14.240 Å, 90.00 90.00 90.00°
Positions (direct):
In: 0.500 0.500 0.500
Tm: 0.000 0.000 0.000
Dy: 0.000 0.000 0.351
Dy: 0.500 0.500 0.174
Dy: 0.000 0.000 0.649
Dy: 0.500 0.500 0.826

Properties
Size of the total moment (μB per cell): 0.000
SG: P4/mmm, No. 123
Total energy (eV/atom): -4.42
Crystal system: tetragonal



# 10
Material: Dy6Tm3In
Method: DFT, GGA-PBE
State: relaxed

Cell: 3.523 12.772 15.936 Å, 121.41 90.00 90.00°
Positions (direct):
Dy: 0.750 0.860 0.106
Dy: 0.750 0.878 0.716
Dy: 0.250 0.402 0.289
Dy: 0.250 0.140 0.894
Dy: 0.750 0.114 0.477
Dy: 0.750 0.663 0.306
Dy: 0.250 0.337 0.694
Dy: 0.250 0.122 0.284
Dy: 0.250 0.886 0.523
Dy: 0.250 0.620 0.901
Dy: 0.750 0.598 0.711
Dy: 0.750 0.380 0.099
Tm: 0.750 0.389 0.898
Tm: 0.250 0.877 0.908
Tm: 0.250 0.611 0.102
Tm: 0.750 0.617 0.495
Tm: 0.750 0.123 0.092
Tm: 0.250 0.383 0.505
In: 0.750 0.120 0.698
In: 0.250 0.880 0.302

Properties
Size of the total moment (μB per cell): 0.000
SG: P2_1/m, No. 11
Total energy (eV/atom): -4.41
Crystal system: monoclinic



# 11
Material: DyTm4In2
Method: DFT, GGA-PBE
State: relaxed

Cell: 10.710 6.720 6.686 Å, 120.17 90.00 90.00°
Positions (direct):
Tm: 0.668 0.000 0.000
Tm: 0.168 0.500 0.000
Tm: 0.250 0.500 0.500
Tm: 0.250 0.000 0.500
Tm: 0.750 0.000 0.500
Tm: 0.332 0.000 0.000
Tm: 0.832 0.500 0.000
Tm: 0.750 0.500 0.500
In: 0.500 0.223 0.446
In: 0.500 0.777 0.554
In: 0.000 0.277 0.554
In: 0.000 0.723 0.446
Dy: 0.000 0.000 0.000
Dy: 0.500 0.500 0.000

Properties
Size of the total moment (μB per cell): 0.000
SG: Fmmm, No. 69
Total energy (eV/atom): -4.08
Crystal system: orthorhombic



# 12
Material: Dy2TmIn
Method: DFT, GGA-PBE
State: relaxed

Cell: 4.817 4.824 4.824 Å, 90.00 90.00 90.00°
Positions (direct):
Dy: 0.000 0.000 0.500
Dy: 0.000 0.500 0.000
In: 0.500 0.000 0.000
Tm: 0.500 0.500 0.500

Properties
Size of the total moment (μB per cell): 0.001
SG: P4/mmm, No. 123
Total energy (eV/atom): -4.37
Crystal system: tetragonal



# 13
Material: Dy6Tm2In3
Method: DFT, GGA-PBE
State: relaxed

Cell: 4.519 4.519 16.937 Å, 97.67 97.67 90.00°
Positions (direct):
Tm: 0.545 0.545 0.090
Tm: 0.455 0.455 0.910
In: 0.000 0.000 0.000
In: 0.807 0.807 0.613
In: 0.193 0.193 0.387
Dy: 0.627 0.127 0.253
Dy: 0.713 0.713 0.425
Dy: 0.127 0.627 0.253
Dy: 0.873 0.373 0.747
Dy: 0.373 0.873 0.747
Dy: 0.287 0.287 0.575

Properties
Size of the total moment (μB per cell): 0.000
SG: I4/mmm, No. 139
Total energy (eV/atom): -4.04
Crystal system: tetragonal



# 14
Material: Dy6Tm12In
Method: DFT, GGA-PBE
State: relaxed

Cell: 8.354 8.354 8.354 Å, 88.81 88.81 88.81°
Positions (direct):
Tm: 0.361 0.012 0.189
Tm: 0.811 0.639 0.988
Tm: 0.778 0.540 0.435
Tm: 0.565 0.222 0.460
Tm: 0.988 0.811 0.639
Tm: 0.222 0.460 0.565
Tm: 0.540 0.435 0.778
Tm: 0.639 0.988 0.811
Tm: 0.460 0.565 0.222
Tm: 0.012 0.189 0.361
Tm: 0.435 0.778 0.540
Tm: 0.189 0.361 0.012
In: 0.000 0.000 0.000
Dy: 0.741 0.906 0.301
Dy: 0.094 0.699 0.259
Dy: 0.699 0.259 0.094
Dy: 0.906 0.301 0.741
Dy: 0.301 0.741 0.906
Dy: 0.259 0.094 0.699

Properties
Size of the total moment (μB per cell): 0.000
SG: R-3, No. 148
Total energy (eV/atom): -4.34
Crystal system: trigonal



# 15
Material: Dy2TmIn4
Method: DFT, GGA-PBE
State: relaxed

Cell: 5.227 5.227 8.148 Å, 108.71 108.71 90.00°
Positions (direct):
In: 0.386 0.886 0.773
In: 0.886 0.386 0.773
In: 0.114 0.614 0.227
In: 0.614 0.114 0.227
Dy: 0.250 0.250 0.500
Dy: 0.750 0.750 0.500
Tm: 0.000 0.000 0.000

Properties
Size of the total moment (μB per cell): 0.001
SG: I4/mmm, No. 139
Total energy (eV/atom): -3.83
Crystal system: tetragonal



# 16
Material: Dy3Tm2In6
Method: DFT, GGA-PBE
State: relaxed

Cell: 5.748 5.748 11.812 Å, 104.08 104.08 90.00°
Positions (direct):
Tm: 0.575 0.575 0.150
Tm: 0.425 0.425 0.850
Dy: 0.148 0.148 0.296
Dy: 0.000 0.000 0.000
Dy: 0.852 0.852 0.704
In: 0.572 0.072 0.145
In: 0.713 0.713 0.425
In: 0.428 0.928 0.855
In: 0.287 0.287 0.575
In: 0.928 0.428 0.855
In: 0.072 0.572 0.145

Properties
Size of the total moment (μB per cell): 0.000
SG: I4/mmm, No. 139
Total energy (eV/atom): -3.47
Crystal system: tetragonal



# 17
Material: Dy8Tm2In
Method: DFT, GGA-PBE
State: relaxed

Cell: 5.299 10.136 8.197 Å, 51.81 89.99 89.98°
Positions (direct):
Tm: 0.500 0.618 0.758
Tm: 0.500 0.376 0.242
Dy: 0.000 0.248 0.498
Dy: 0.000 0.664 0.000
Dy: 0.500 0.969 0.728
Dy: 0.500 0.297 0.728
Dy: 0.000 0.746 0.502
Dy: 0.500 0.697 0.272
Dy: 0.500 0.025 0.272
Dy: 0.000 0.330 0.000
In: 0.000 0.997 0.000

Properties
Size of the total moment (μB per cell): 0.001
SG: Cmmm, No. 65
Total energy (eV/atom): -4.34
Crystal system: orthorhombic



# 18
Material: Dy8Tm2In
Method: DFT, GGA-PBE
State: relaxed

Cell: 5.515 6.400 10.003 Å, 85.49 106.00 90.00°
Positions (direct):
Dy: 0.579 0.405 0.159
Dy: 0.338 0.121 0.676
Dy: 0.421 0.595 0.841
Dy: 0.662 0.879 0.324
Dy: 0.154 0.196 0.309
Dy: 0.044 0.737 0.089
Dy: 0.846 0.804 0.691
Dy: 0.956 0.263 0.911
Tm: 0.242 0.664 0.485
Tm: 0.758 0.336 0.515
In: 0.500 0.000 0.000

Properties
Size of the total moment (μB per cell): 0.000
SG: C2/m, No. 12
Total energy (eV/atom): -4.46
Crystal system: monoclinic



# 19
Material: Dy3Tm6In
Method: DFT, GGA-PBE
State: relaxed

Cell: 5.493 9.515 12.545 Å, 114.12 90.00 90.00°
Positions (direct):
Dy: 0.750 0.201 0.973
Dy: 0.750 0.379 0.778
Dy: 0.250 0.155 0.630
Dy: 0.750 0.845 0.370
Dy: 0.250 0.621 0.222
Dy: 0.250 0.799 0.027
Tm: 0.250 0.755 0.514
Tm: 0.750 0.245 0.486
Tm: 0.250 0.024 0.330
Tm: 0.750 0.976 0.670
Tm: 0.750 0.021 0.173
Tm: 0.250 0.392 0.931
Tm: 0.750 0.787 0.861
Tm: 0.250 0.213 0.139
Tm: 0.750 0.448 0.295
Tm: 0.250 0.552 0.705
Tm: 0.750 0.608 0.069
Tm: 0.250 0.979 0.827
In: 0.750 0.614 0.583
In: 0.250 0.386 0.417

Properties
Size of the total moment (μB per cell): 0.000
SG: P2_1/m, No. 11
Total energy (eV/atom): -4.41
Crystal system: monoclinic



# 20
Material: Dy8Tm5In
Method: DFT, GGA-PBE
State: relaxed

Cell: 8.342 8.342 8.342 Å, 110.26 107.91 110.26°
Positions (direct):
Tm: 0.815 0.691 0.712
Tm: 0.500 0.000 0.500
Tm: 0.021 0.309 0.124
Tm: 0.876 0.897 0.185
Tm: 0.288 0.103 0.979
Dy: 0.655 0.394 0.915
Dy: 0.085 0.740 0.478
Dy: 0.522 0.606 0.261
Dy: 0.930 0.094 0.658
Dy: 0.565 0.906 0.837
Dy: 0.163 0.728 0.070
Dy: 0.342 0.272 0.435
Dy: 0.739 0.260 0.345
In: 0.250 0.500 0.750

Properties
Size of the total moment (μB per cell): 0.000
SG: I-4, No. 82
Total energy (eV/atom): -4.23
Crystal system: tetragonal



| no. | ΔE_f (meV/atom) |
| --- | --- |
| 1 | -249 |
| 2 | -7 |
| 3 | -278 |
| 4 | -286 |
| 5 | -183 |
| 6 | -444 |
| 7 | -1 |
| 8 | 361 |
| 9 | -149 |
| 10 | -32 |
| 11 | -87 |
| 12 | -264 |
| 13 | 33 |
| 14 | 78 |
| 15 | -310 |
| 16 | 96 |
| 17 | 72 |
| 18 | -53 |
| 19 | -72 |
| 20 | 188 |